This record from Alexandria describes crystalline Ag7PS6 at its relaxed geometry. The functional is GGA-PBEsol.

Values from the calculation:
formation energy from raw total energies: -0.132 eV/atom
final energy: -0.150 Ha/atom

Unit cell a=10.231 b=10.231 c=10.231 alpha=90.00 beta=90.00 gamma=90.00
Space group P2_13 (No. 198)
One atom of each set of equivalent atoms:
Ag (0.009, 0.221, 0.510) (multiplicity 12)
Ag (0.074, 0.596, 0.235) (multiplicity 12)
Ag (0.155, 0.845, 0.345) (multiplicity 4)
P (0.249, 0.749, 0.751) (multiplicity 4)
S (0.021, 0.979, 0.479) (multiplicity 4)
S (0.127, 0.642, 0.632) (multiplicity 12)
S (0.134, 0.134, 0.134) (multiplicity 4)
S (0.212, 0.288, 0.712) (multiplicity 4)


This record from Alexandria describes crystalline LiY2In2 at its relaxed geometry. The functional is GGA-PBEsol.

Values from the calculation:
formation energy from the elements: -0.41 eV per atom
final energy: -0.174 Ha/atom

Unit cell a=7.381 b=7.381 c=4.659 alpha=90.00 beta=90.00 gamma=90.00
Space group P4/mbm (No. 127)
One atom of each set of equivalent atoms:
Li (0.000, 0.000, 0.000) (multiplicity 2)
Y (0.164, 0.336, 0.500) (multiplicity 4)
In (0.142, 0.642, 0.000) (multiplicity 4)


This record from Alexandria describes crystalline AgBF2 at its relaxed geometry. The functional is GGA-PBEsol.

Values from the calculation:
formation energy from raw total energies: 0.012 eV/atom
final energy: -0.130 Ha/atom

Unit cell a=5.682 b=5.682 c=5.682 alpha=90.00 beta=90.00 gamma=90.00
Space group Fm-3m (No. 225)
One atom of each set of equivalent atoms:
Ag (0.000, 0.000, 0.000) (multiplicity 4)
B (0.000, 0.000, 0.500) (multiplicity 4)
F (0.250, 0.250, 0.250) (multiplicity 8)


This record from Alexandria describes crystalline MnCrPt at its relaxed geometry. The functional is GGA-PBEsol.

Values from the calculation:
polymorph energy (0 for the lowest one): 0.039 eV/atom
formation energy from the elements: -0.01 eV per atom
final energy: -0.331 Ha/atom

Unit cell a=2.693 b=2.693 c=10.561 alpha=90.00 beta=90.00 gamma=90.00
Space group I4mm (No. 107)
One atom of each set of equivalent atoms:
Mn (0.000, 0.000, 0.000) (multiplicity 2)
Cr (0.000, 0.000, 0.640) (multiplicity 2)
Pt (0.000, 0.000, 0.320) (multiplicity 2)


This record from Alexandria describes crystalline SrMo2PbC at its relaxed geometry. The functional is GGA-PBEsol.

Values from the calculation:
formation energy from the elements: 2.97 eV per atom
final energy: -0.178 Ha/atom

Unit cell a=5.216 b=5.216 c=6.186 alpha=90.00 beta=90.00 gamma=90.00
Space group P4/mmm (No. 123)
One atom of each set of equivalent atoms:
Sr (0.000, 0.000, 0.000) (multiplicity 1)
Mo (0.000, 0.500, 0.500) (multiplicity 2)
Pb (0.000, 0.000, 0.500) (multiplicity 1)
C (0.500, 0.500, 0.000) (multiplicity 1)


This record from Alexandria describes crystalline TlZnIn2 at its relaxed geometry. The functional is GGA-PBEsol.

Values from the calculation:
formation energy from the elements: 0.09 eV per atom
final energy: -0.090 Ha/atom

Unit cell a=11.831 b=3.331 c=5.274 alpha=90.00 beta=114.62 gamma=90.00
Space group C2/m (No. 12)
One atom of each set of equivalent atoms:
Tl (0.000, 0.000, 0.000) (multiplicity 2)
Zn (0.000, 0.500, 0.500) (multiplicity 2)
In (0.220, 0.000, 0.722) (multiplicity 4)


What are the total magnetic moment values for these records? In order: 0.001 0.004 0.000 0.690 5.428 0.000 μB per cell.